# 1
CeHoSb | Alexandria | GGA-PBE | relaxed; SG = I4mm (107); M_tot = 0.95 μB per cell; final energy = -5.44 eV/atom; ΔE_f (raw) = -0.561 eV/atom
1.0
-2.012 2.012 5.229
2.012 -2.012 5.229
2.012 2.012 -5.229
Ce Ho Sb
1 1 1
Direct
0.000 0.000 0.000
0.699 0.699 0.000
0.337 0.337 0.000



# 2
HfSbHPd2 | Alexandria | GGA-PBE | relaxed; SG = P4/mmm (123); M_tot = 0.00 μB per cell; final energy = -6.02 eV/atom
1.0
4.097 0.000 0.000
0.000 4.097 0.000
0.000 0.000 4.497
Hf Sb H Pd
1 1 1 2
Direct
0.000 0.000 0.000
0.500 0.500 0.000
0.000 0.000 0.500
0.000 0.500 0.500
0.500 0.000 0.500



# 3
Ba4ZnAu | Alexandria | GGA-PBE | relaxed; ΔH_f (0 K) = 0.4787 eV per atom; SG = F-43m (216); M_tot = 0.92 μB per cell; final energy = -1.56 eV/atom; ΔE to the lowest computed polymorph = 4.72 eV per formula unit
1.0
0.000 5.096 5.096
5.096 0.000 5.096
5.096 5.096 0.000
Ba Zn Au
4 1 1
Direct
0.125 0.125 0.125
0.125 0.125 0.624
0.125 0.624 0.125
0.624 0.125 0.125
0.750 0.750 0.750
0.500 0.500 0.500



# 4
Ba2LiCa | Alexandria | GGA-PBE | relaxed; ΔH_f (0 K) = 0.0719 eV per atom; SG = Cmmm (65); M_tot = 0.00 μB per cell; final energy = -1.87 eV/atom; ΔE to the lowest computed polymorph = 0.16 eV per formula unit
1.0
4.623 -4.650 0.000
4.623 4.650 0.000
0.000 0.000 4.608
Ba Li Ca
2 1 1
Direct
0.000 0.500 0.000
0.500 0.000 0.000
0.000 0.000 0.500
0.500 0.500 0.500



# 5
Pu2Zn3Rh2 | Alexandria | GGA-PBE | relaxed; ΔH_f (0 K) = -0.0982 eV per atom; SG = C2/m (12); M_tot = 0.00 μB per cell; final energy = -6.84 eV/atom
1.0
5.974 -1.670 0.000
5.974 1.670 0.000
-3.815 0.000 5.946
Pu Zn Rh
2 3 2
Direct
0.201 0.201 0.364
0.799 0.799 0.636
0.437 0.437 0.089
0.500 0.500 0.500
0.563 0.563 0.911
0.183 0.183 0.802
0.817 0.817 0.198



# 6
ZrFeP | Alexandria | GGA-PBE | relaxed; ΔH_f (0 K) = -0.6831 eV per atom; SG = Cc (9); M_tot = 0.00 μB per cell; final energy = -8.16 eV/atom
1.0
3.664 -4.876 0.000
3.664 4.876 0.000
-2.442 0.000 5.069
Zr Fe P
4 4 4
Direct
0.079 0.921 0.500
0.204 0.668 0.086
0.668 0.204 0.586
0.921 0.079 0.000
0.321 0.359 0.830
0.359 0.321 0.330
0.425 0.740 0.701
0.740 0.425 0.201
0.079 0.432 0.480
0.432 0.079 0.980
0.630 0.728 0.438
0.728 0.630 0.938



# 7
CsH2Cl2 | Alexandria | GGA-PBE | relaxed; SG = C2/c (15); M_tot = 2.00 μB per cell; final energy = -2.97 eV/atom
1.0
5.309 -2.774 0.000
5.309 2.774 0.000
-4.939 0.000 9.169
Cs H Cl
2 4 4
Direct
0.110 0.890 0.750
0.890 0.110 0.250
0.436 0.495 0.994
0.495 0.436 0.494
0.505 0.564 0.506
0.564 0.505 0.006
0.142 0.365 0.104
0.365 0.142 0.604
0.635 0.858 0.396
0.858 0.635 0.896



# 8
CsAl2NiBr8 | Alexandria | GGA-PBE | relaxed; SG = R-3 (148); M_tot = 1.00 μB per cell; final energy = -3.31 eV/atom; ΔE_f (raw) = -1.018 eV/atom
1.0
3.381 1.952 10.164
-3.381 1.952 10.164
0.000 -3.904 10.164
Cs Al Ni Br
1 2 1 8
Direct
0.000 0.000 0.000
0.241 0.241 0.241
0.759 0.759 0.759
0.500 0.500 0.500
0.122 0.762 0.460
0.238 0.540 0.878
0.318 0.318 0.318
0.460 0.122 0.762
0.540 0.878 0.238
0.682 0.682 0.682
0.762 0.460 0.122
0.878 0.238 0.540



# 9
TiCr2H | Alexandria | GGA-PBE | relaxed; SG = Fm-3m (225); M_tot = 2.18 μB per cell; final energy = -6.64 eV/atom; ΔE to the lowest computed polymorph = 3.25 eV per formula unit
1.0
0.000 2.852 2.852
2.852 0.000 2.852
2.852 2.852 0.000
Ti Cr H
1 2 1
Direct
0.000 0.000 0.000
0.250 0.250 0.250
0.750 0.750 0.750
0.500 0.500 0.500



# 10
TaNi2Te | Alexandria | GGA-PBE | relaxed; SG = I4/mmm (139); M_tot = 0.00 μB per cell; final energy = -6.43 eV/atom; ΔE_f (raw) = 0.210 eV/atom
1.0
-2.015 2.015 3.802
2.015 -2.015 3.802
2.015 2.015 -3.802
Ta Ni Te
1 2 1
Direct
0.000 0.000 0.000
0.250 0.750 0.500
0.750 0.250 0.500
0.500 0.500 0.000



# 11
K2ScCrTc | Alexandria | GGA-PBE | relaxed; ΔH_f (0 K) = 1.8510 eV per atom; SG = P4/mmm (123); M_tot = 6.55 μB per cell; final energy = -3.85 eV/atom
1.0
5.910 0.000 0.000
0.000 5.910 0.000
0.000 0.000 5.161
K Sc Cr Tc
2 1 1 1
Direct
0.000 0.500 0.000
0.500 0.000 0.000
0.000 0.000 0.500
0.000 0.000 0.000
0.500 0.500 0.500



# 12
KHf2Ti2O7 | Alexandria | GGA-PBE | relaxed; SG = I4/mmm (139); M_tot = 0.00 μB per cell; final energy = -8.93 eV/atom; ΔE_f (raw) = -2.967 eV/atom
1.0
-2.082 2.082 8.731
2.082 -2.082 8.731
2.082 2.082 -8.731
K Hf Ti O
1 2 2 7
Direct
0.000 0.000 0.000
0.385 0.385 0.000
0.615 0.615 0.000
0.250 0.750 0.500
0.750 0.250 0.500
0.129 0.629 0.500
0.255 0.255 0.000
0.371 0.871 0.500
0.500 0.500 0.000
0.629 0.129 0.500
0.745 0.745 0.000
0.871 0.371 0.500



# 13
CsLa | Alexandria | GGA-PBE | relaxed; ΔH_f (0 K) = 0.8051 eV per atom; SG = Fddd (70); M_tot = 4.41 μB per cell; final energy = -2.09 eV/atom
1.0
0.000 6.024 7.131
5.529 0.000 7.131
5.529 6.024 0.000
Cs La
4 4
Direct
0.044 0.706 0.044
0.294 0.956 0.294
0.706 0.044 0.706
0.956 0.294 0.956
0.246 0.504 0.504
0.496 0.754 0.754
0.504 0.246 0.246
0.754 0.496 0.496



# 14
Pr8GeTe4P3 | Alexandria | GGA-PBE | relaxed; SG = R-3m (166); M_tot = 0.00 μB per cell; final energy = -5.96 eV/atom; ΔE_f (raw) = -1.484 eV/atom
1.0
4.330 2.500 7.374
-4.330 2.500 7.374
0.000 -5.000 7.374
Pr Ge Te P
8 1 4 3
Direct
0.237 0.741 0.741
0.238 0.238 0.238
0.259 0.259 0.763
0.259 0.763 0.259
0.741 0.237 0.741
0.741 0.741 0.237
0.762 0.762 0.762
0.763 0.259 0.259
0.500 0.500 0.500
0.000 0.000 0.000
0.000 0.500 0.500
0.500 0.000 0.500
0.500 0.500 0.000
0.000 0.000 0.500
0.000 0.500 0.000
0.500 0.000 0.000



# 15
Rb2SrAuSe | Alexandria | GGA-PBE | relaxed; SG = P4/mmm (123); M_tot = 0.00 μB per cell; final energy = -2.45 eV/atom; ΔE_f (raw) = -0.374 eV/atom
1.0
6.114 0.000 0.000
0.000 6.114 0.000
0.000 0.000 6.187
Rb Sr Au Se
2 1 1 1
Direct
0.000 0.500 0.000
0.500 0.000 0.000
0.000 0.000 0.500
0.000 0.000 0.000
0.500 0.500 0.500



# 16
Ba2Hg2Ge | Alexandria | GGA-PBE | relaxed; ΔH_f (0 K) = -0.1803 eV per atom; SG = P4/mbm (127); M_tot = 0.00 μB per cell; final energy = -1.99 eV/atom; ΔE to the lowest computed polymorph = 1.56 eV per formula unit
1.0
9.297 0.000 0.000
0.000 9.297 0.000
0.000 0.000 4.379
Ba Hg Ge
4 4 2
Direct
0.178 0.322 0.000
0.322 0.822 0.000
0.678 0.178 0.000
0.822 0.678 0.000
0.122 0.622 0.500
0.378 0.122 0.500
0.622 0.878 0.500
0.878 0.378 0.500
0.000 0.000 0.000
0.500 0.500 0.000



# 17
CaSn3I8 | Alexandria | GGA-PBE | relaxed; SG = C2/m (12); M_tot = 0.00 μB per cell; final energy = -2.99 eV/atom; ΔE_f (raw) = -0.790 eV/atom
1.0
7.925 -4.577 0.000
7.925 4.577 0.000
-5.360 0.000 7.603
Ca Sn I
1 3 8
Direct
0.000 0.000 0.000
0.000 0.500 0.000
0.500 0.000 0.000
0.500 0.500 0.000
0.244 0.244 0.237
0.244 0.753 0.237
0.247 0.756 0.763
0.251 0.251 0.757
0.749 0.749 0.243
0.753 0.244 0.237
0.756 0.247 0.763
0.756 0.756 0.763



# 18
KBa3C2N6 | Alexandria | GGA-PBE | relaxed; SG = P-3m1 (164); M_tot = 1.02 μB per cell; final energy = -6.55 eV/atom; ΔE_f (raw) = -0.277 eV/atom
1.0
6.093 0.000 0.000
-3.047 5.277 0.000
0.000 0.000 6.979
K Ba C N
1 3 2 6
Direct
0.000 0.000 0.000
0.000 0.000 0.500
0.333 0.667 0.159
0.667 0.333 0.841
0.333 0.667 0.754
0.667 0.333 0.246
0.206 0.412 0.764
0.206 0.794 0.764
0.412 0.206 0.236
0.588 0.794 0.764
0.794 0.206 0.236
0.794 0.588 0.236



# 19
Mo2Ru3 | Alexandria | GGA-PBE | relaxed; ΔH_f (0 K) = 0.0393 eV per atom; SG = Fdd2 (43); M_tot = 0.00 μB per cell; final energy = -9.86 eV/atom; ΔE to the lowest computed polymorph = 0.00 eV per formula unit
1.0
0.000 6.562 2.423
4.669 0.000 2.423
4.669 6.562 0.000
Mo Ru
4 6
Direct
0.267 0.733 0.336
0.586 0.914 0.517
0.733 0.267 0.664
0.914 0.586 0.983
0.114 0.807 0.080
0.170 0.251 0.136
0.251 0.170 0.443
0.440 0.440 0.560
0.690 0.690 0.810
0.807 0.114 0.999



# 20
MgReTc2 | Alexandria | GGA-PBE | relaxed; ΔH_f (0 K) = 0.1517 eV per atom; SG = R-3m (166); M_tot = 0.00 μB per cell; final energy = -8.54 eV/atom
1.0
1.401 0.809 9.135
-1.401 0.809 9.135
0.000 -1.617 9.135
Mg Re Tc
1 1 2
Direct
0.000 0.000 0.000
0.500 0.500 0.500
0.246 0.246 0.246
0.754 0.754 0.754



# 21
Ho3Zn4Ga4 | Alexandria | GGA-PBE | relaxed; ΔH_f (0 K) = -0.5179 eV per atom; SG = Immm (71); M_tot = 0.00 μB per cell; final energy = -3.33 eV/atom; ΔE to the lowest computed polymorph = 0.00 eV per formula unit
1.0
-2.156 3.395 7.147
2.156 -3.395 7.147
2.156 3.395 -7.147
Ho Zn Ga
3 4 4
Direct
0.000 0.000 0.000
0.374 0.874 0.500
0.626 0.126 0.500
0.023 0.334 0.689
0.354 0.666 0.689
0.646 0.334 0.311
0.977 0.666 0.311
0.219 0.219 0.000
0.312 0.500 0.812
0.688 0.500 0.188
0.781 0.781 0.000



# 22
Nd2OsO | Alexandria | GGA-PBE | relaxed; SG = R-3m (166); M_tot = 0.28 μB per cell; final energy = -7.10 eV/atom; ΔE to the lowest computed polymorph = 1.11 eV per formula unit; ΔE_f (raw) = -0.666 eV/atom
1.0
2.154 1.244 7.415
-2.154 1.244 7.415
0.000 -2.487 7.415
Nd Os O
2 1 1
Direct
0.096 0.096 0.096
0.904 0.904 0.904
0.500 0.500 0.500
0.000 0.000 0.000



# 23
Mg2NbHg2 | Alexandria | GGA-PBE | relaxed; ΔH_f (0 K) = 0.4919 eV per atom; SG = I4/mmm (139); M_tot = 0.10 μB per cell; final energy = -2.28 eV/atom; ΔE to the lowest computed polymorph = 1.51 eV per formula unit
1.0
-2.082 2.082 6.162
2.082 -2.082 6.162
2.082 2.082 -6.162
Mg Nb Hg
2 1 2
Direct
0.102 0.102 0.000
0.898 0.898 0.000
0.500 0.500 0.000
0.250 0.750 0.500
0.750 0.250 0.500



# 24
CaAcAl4 | Alexandria | GGA-PBE | relaxed; ΔH_f (0 K) = -0.3113 eV per atom; SG = Imm2 (44); M_tot = 0.00 μB per cell; final energy = -3.82 eV/atom; ΔE to the lowest computed polymorph = 0.09 eV per formula unit
1.0
-2.330 3.811 4.156
2.330 -3.811 4.156
2.330 3.811 -4.156
Ca Ac Al
1 1 4
Direct
0.000 0.000 0.000
0.604 0.104 0.500
0.031 0.716 0.314
0.199 0.391 0.808
0.402 0.716 0.686
0.583 0.391 0.192



These records have calculated density values of 8.37; 11.31; 5.09; 2.70; 12.46; 6.53; 2.53; 3.65; 5.47; 11.45; 2.52; 6.62; 3.80; 6.25; 3.84; 6.57; 4.25; 4.14; 11.07; 10.87; 8.21; 6.89; 8.43; 4.22 Mg/m³, in the order they appear.